No. 1
Computed, not measured: a geometry-optimized Os2Pt2O5 structure at the PBE level of DFT.

The structure in extended XYZ format:
```
9
Lattice="8.6901 0.0000 0.0000 0.0000 3.7061 0.0000 0.0000 0.0000 3.7061" Properties=species:S:1:pos:R:3 pbc="T T T"
O 2.0853 1.8530 0.0000
O 6.6048 1.8530 0.0000
O 2.0853 0.0000 1.8530
O 6.6048 0.0000 1.8530
O 4.3450 1.8530 1.8530
Os 2.0676 1.8530 1.8530
Os 6.6224 1.8530 1.8530
Pt 0.0000 0.0000 0.0000
Pt 4.3450 0.0000 0.0000
```

Values from the calculation:
- offset from the most stable computed form (eV per atom) = 0.000

No. 2
Computed, not measured: a geometry-optimized Y2ReBi structure at the PBE level of DFT.

The structure in extended XYZ format:
```
4
Lattice="3.2739 -3.4018 1.7788 -1.5341 -4.7056 0.9794 1.5215 -3.8116 -2.9346" Properties=species:S:1:pos:R:3 pbc="T T T"
Bi 1.6306 -5.9595 -0.0881
Re 0.8153 -2.9798 -0.0441
Y 0.0000 0.0000 0.0000
Y 2.4459 -8.9393 -0.1322
```

Values from the calculation:
- total DFT energy (no corrections) (eV per atom) = -7.1215

No. 3
Computed, not measured: a geometry-optimized LiYCd2 structure at the PBE level of DFT.

The structure in extended XYZ format:
```
4
Lattice="0.0000 3.4630 3.4630 3.4630 0.0000 3.4630 3.4630 3.4630 0.0000" Properties=species:S:1:pos:R:3 pbc="T T T"
Cd 0.0000 0.0000 0.0000
Cd 5.1945 5.1945 5.1945
Li 3.4630 3.4630 3.4630
Y 1.7315 1.7315 1.7315
```

Values from the calculation:
- total DFT energy (no corrections) (eV per atom) = -2.8194

No. 4
Computed, not measured: a geometry-optimized SiAuNO structure at the PBE level of DFT.

The structure in extended XYZ format:
```
8
Lattice="2.7066 -2.7065 0.0000 2.7066 2.7065 0.0000 0.0000 0.0000 6.6169" Properties=species:S:1:pos:R:3 pbc="T T T"
Au 1.3533 0.0000 1.1320
Au 4.0599 0.0000 5.4849
N 4.0599 0.0000 3.1146
N 1.3533 0.0000 3.5023
O 2.7066 -1.3533 0.0000
O 2.7066 1.3533 0.0000
Si 2.7066 -1.3533 3.3085
Si 2.7066 1.3533 3.3085
```

Values from the calculation:
- offset from the most stable computed form (eV per atom) = 1.496

No. 5
Computed, not measured: a geometry-optimized PrZnGe3 structure at the PBE level of DFT.

The structure in extended XYZ format:
```
5
Lattice="-2.3915 2.3915 4.6151 2.3915 -2.3915 4.6151 2.3915 2.3915 -4.6151" Properties=species:S:1:pos:R:3 pbc="T T T"
Ge 0.0000 0.0000 8.8504
Ge 0.0000 2.3915 3.1376
Ge 2.3915 0.0000 3.1376
Pr 0.0000 0.0000 5.4352
Zn 0.0000 0.0000 2.1027
```

Values from the calculation:
- total DFT energy (no corrections) (eV per atom) = -4.2611

No. 6
Computed, not measured: a geometry-optimized TaGePb2O6 structure at the PBE level of DFT.

The structure in extended XYZ format:
```
10
Lattice="2.8686 1.6562 4.6054 -2.8686 1.6562 4.6054 0.0000 -3.3123 4.6054" Properties=species:S:1:pos:R:3 pbc="T T T"
Ge 0.0000 0.0000 0.0000
O 1.2418 1.0751 5.7613
O -0.3102 1.6130 8.0550
O -1.5519 0.5379 5.7613
O 1.5519 -0.5379 8.0550
O 0.3101 -1.6130 5.7613
O -1.2418 -1.0751 8.0550
Pb 0.0000 0.0000 3.4679
Pb 0.0000 0.0000 10.3484
Ta 0.0000 0.0000 6.9081
```

Values from the calculation:
- offset from the most stable computed form (eV per atom) = 0.000

No. 7
Computed, not measured: a geometry-optimized CsLiTbS3 structure at the PBE level of DFT.

The structure in extended XYZ format:
```
12
Lattice="4.3609 2.4029 -5.9015 -4.6028 -5.3952 3.0536 -8.4590 4.7805 -4.3043" Properties=species:S:1:pos:R:3 pbc="T T T"
Cs -0.1054 1.5524 -4.6283
Cs -8.5956 0.2359 -2.5238
Li -2.5786 -0.5993 -2.1574
Li -6.1224 2.3876 -4.9947
S -1.5971 -2.1544 -0.6068
S -6.3144 -3.8493 1.5748
S -4.9544 -0.2571 -2.3152
S -3.7466 2.0454 -4.8370
S -2.3866 5.6376 -8.7269
S -7.1039 3.9427 -6.5453
Tb 0.0000 0.0000 0.0000
Tb -4.2295 2.3903 -2.1521
```

Values from the calculation:
- total DFT energy (no corrections) (eV per atom) = -4.7049

No. 8
Computed, not measured: a geometry-optimized Ir2Pb2O5 structure at the PBE level of DFT.

The structure in extended XYZ format:
```
9
Lattice="7.2097 0.0000 0.0000 0.0000 3.9974 0.0000 0.0000 0.0000 3.9974" Properties=species:S:1:pos:R:3 pbc="T T T"
Ir 1.4168 1.9987 1.9987
Ir 5.7929 1.9987 1.9987
O 1.7460 1.9987 0.0000
O 5.4637 1.9987 0.0000
O 1.7460 0.0000 1.9987
O 5.4637 0.0000 1.9987
O 3.6049 1.9987 1.9987
Pb 0.0000 0.0000 0.0000
Pb 3.6049 0.0000 0.0000
```

Values from the calculation:
- offset from the most stable computed form (eV per atom) = 0.000

No. 9
Computed, not measured: a geometry-optimized Nd3GdY2CoTe2 structure at the PBE level of DFT.

The structure in extended XYZ format:
```
9
Lattice="-1.7146 2.4231 2.7109 4.4683 -3.7478 6.1760 3.1724 6.7651 -4.0403" Properties=species:S:1:pos:R:3 pbc="T T T"
Co 6.7793 4.2272 3.4900
Gd 5.8623 2.3150 1.6386
Nd 2.2343 2.4324 2.2196
Nd 5.4990 1.4948 5.1226
Nd 4.9755 5.7418 0.9954
Te 4.0333 -0.2489 2.7735
Te 3.6003 3.2634 -0.6398
Y 1.0467 -0.8762 1.4452
Y 0.7435 1.5832 -0.9448
```

Values from the calculation:
- total DFT energy (no corrections) (eV per atom) = -5.7323

No. 10
Computed, not measured: a geometry-optimized CsMo6Se7 structure at the PBE level of DFT.

The structure in extended XYZ format:
```
28
Lattice="9.9865 0.0014 0.0010 5.2370 8.5032 0.0010 5.2370 2.9256 7.9841" Properties=species:S:1:pos:R:3 pbc="T T T"
Cs 7.6484 4.2728 2.9853
Cs 12.8120 7.1575 5.0007
Mo 11.5920 7.5370 0.0568
Mo 6.8645 7.6410 0.4922
Mo 12.1300 2.9463 0.9285
Mo 14.2299 7.2050 0.9805
Mo 10.1056 1.0948 1.5579
Mo 7.9649 9.3408 2.4472
Mo 12.4955 2.0894 5.5389
Mo 10.3548 10.3354 6.4282
Mo 6.2305 4.2252 7.0055
Mo 8.3304 8.4840 7.0576
Mo 13.5959 3.7892 7.4938
Mo 8.8684 3.8933 7.9292
Se 9.5789 3.2089 0.1044
Se 9.2837 7.3140 1.3598
Se 12.3636 5.5131 1.5860
Se 4.5085 2.5187 1.7598
Se 12.7058 9.1053 1.9425
Se 6.0454 7.5268 2.9772
Se 11.0955 2.6770 3.3548
Se 9.3649 8.7532 4.6312
Se 14.4151 3.9034 5.0088
Se 7.7546 2.3249 6.0435
Se 15.9519 8.9115 6.2263
Se 8.0968 5.9171 6.4000
Se 11.1767 4.1162 6.6262
Se 10.8815 8.2214 7.8817
```

Values from the calculation:
- total DFT energy (no corrections) (eV per atom) = -7.0955

No. 11
Computed, not measured: a geometry-optimized Ge2Os2W3 structure at the PBE level of DFT.

The structure in extended XYZ format:
```
7
Lattice="-6.0567 2.9706 2.9706 -2.9706 2.9706 6.0567 -2.9706 6.0567 2.9706" Properties=species:S:1:pos:R:3 pbc="T T T"
Ge -2.8027 2.8027 2.8027
Ge -9.1009 9.1009 9.1009
Os -0.2507 0.2507 0.2507
Os -5.8555 5.8555 5.8555
W -4.4163 4.4163 4.4163
W -7.4476 7.4476 7.4476
W -10.6190 10.6190 10.6190
```

Values from the calculation:
- total DFT energy (no corrections) (eV per atom) = -9.6403

No. 12
Computed, not measured: a geometry-optimized SbPdAu structure at the PBE level of DFT.

The structure in extended XYZ format:
```
3
Lattice="3.3619 -1.5625 2.5542 4.1755 1.5884 -0.5567 1.8450 2.6341 3.1504" Properties=species:S:1:pos:R:3 pbc="T T T"
Au 2.3456 0.6650 1.2870
Pd 7.0368 1.9950 3.8610
Sb 0.0000 0.0000 0.0000
```

Values from the calculation:
- total DFT energy (no corrections) (eV per atom) = -4.3113